Record 1
VASP calculation (PBE) on a relaxed structure of Nb2AlPd6.

Cell and atoms, written as extended XYZ:
```
9
Lattice="3.732 -6.867 0.000 3.732 6.867 0.000 0.000 0.000 2.825" Properties=species:S:1:pos:R:3 pbc="T T T"
Nb 3.732 4.393 0.000
Nb 3.732 -4.393 0.000
Al 3.732 0.000 1.413
Pd 2.384 2.201 1.413
Pd 1.413 0.000 0.000
Pd 2.384 -2.201 1.413
Pd 5.080 2.201 1.413
Pd 6.051 0.000 0.000
Pd 5.080 -2.201 1.413
```

Its density of states at the Fermi level is 6.35 states/eV/cell. The value obtained for the total energy is -58.288 eV/cell.

Record 2
VASP calculation (PBE) on a relaxed structure of NbAlPd6.

Cell and atoms, written as extended XYZ:
```
8
Lattice="5.028 0.000 0.000 -0.274 5.025 0.000 -0.268 -0.306 5.018" Properties=species:S:1:pos:R:3 pbc="T T T"
Nb 0.000 0.000 0.000
Al 2.243 2.360 2.509
Pd 0.026 1.118 2.656
Pd 1.122 2.638 0.242
Pd 1.908 4.557 3.740
Pd 2.578 0.163 1.278
Pd 3.364 2.081 4.776
Pd 4.459 3.602 2.362
```

Its density of states at the Fermi level is 3.08 states/eV/cell. The value obtained for the total energy is -48.078 eV/cell.

Record 3
VASP calculation (PBE) on a relaxed structure of NbAl3Pd2.

Cell and atoms, written as extended XYZ:
```
6
Lattice="2.964 0.000 0.000 0.000 2.964 0.000 0.000 0.000 10.456" Properties=species:S:1:pos:R:3 pbc="T T T"
Nb 0.000 0.000 0.000
Al 1.482 1.482 1.979
Al 1.482 1.482 5.228
Al 1.482 1.482 8.477
Pd 0.000 0.000 3.583
Pd 0.000 0.000 6.873
```

Its density of states at the Fermi level is 1.81 states/eV/cell. The value obtained for the total energy is -35.829 eV/cell.

Record 4
VASP calculation (PBE) on a relaxed structure of Nb2AlPd.

Cell and atoms, written as extended XYZ:
```
4
Lattice="3.836 0.000 0.000 0.000 3.836 0.000 0.000 0.000 4.520" Properties=species:S:1:pos:R:3 pbc="T T T"
Nb 0.000 1.918 0.000
Nb 1.918 0.000 0.000
Al 0.000 0.000 2.260
Pd 1.918 1.918 2.260
```

Its density of states at the Fermi level is 2.56 states/eV/cell. The value obtained for the total energy is -30.568 eV/cell.